BiRh2I | PBE | relaxed

D(E_F) (states/eV/atom): 1.201
Magnetic moment (μB/f.u.): 0.00
Volume (Å³/f.u.): 80
Polymorph energy (0 for the lowest one) (meV per atom): 5.6
Symmetry: Fm-3m, No. 225

POSCAR file:
```
BiRh2I
1.0
6.850 0.000 0.000
0.000 6.850 0.000
0.000 0.000 6.850
Bi Rh I
4 8 4
Direct
0.000 0.000 0.000
0.000 0.500 0.500
0.500 0.000 0.500
0.500 0.500 0.000
0.250 0.250 0.250
0.250 0.250 0.750
0.250 0.750 0.250
0.250 0.750 0.750
0.750 0.250 0.250
0.750 0.250 0.750
0.750 0.750 0.250
0.750 0.750 0.750
0.000 0.000 0.500
0.000 0.500 0.000
0.500 0.000 0.000
0.500 0.500 0.500
```